1.
Below is crystalline TbInS3 at its relaxed geometry, with properties calculated at the PBE level.

Cell: 7.220 7.220 7.220 Å, 56.31 56.31 56.31°
Fractional coordinates of all 10 atoms:
Tb 0.148 0.148 0.148
Tb 0.852 0.852 0.852
In 0.350 0.350 0.350
In 0.650 0.650 0.650
S 0.056 0.737 0.451
S 0.263 0.549 0.944
S 0.451 0.056 0.737
S 0.549 0.944 0.263
S 0.737 0.451 0.056
S 0.944 0.263 0.549

Properties
ΔE_f (raw) = -1.26 eV per atom
total moment = 0.000 μB per formula unit
energy = -5.2116 eV per atom
Fermi-level density of states = 0.000 states/eV/atom

2.
Below is crystalline Tb4In5S13 at its relaxed geometry, with properties calculated at the PBE level.

Cell: 11.951 21.518 3.873 Å, 90.00 90.00 90.00°
Fractional coordinates of all 44 atoms:
Tb 0.019 0.174 0.000
Tb 0.178 0.340 0.000
Tb 0.322 0.840 0.000
Tb 0.481 0.674 0.000
Tb 0.519 0.326 0.000
Tb 0.678 0.160 0.000
Tb 0.822 0.660 0.000
Tb 0.981 0.826 0.000
In 0.000 0.500 0.000
In 0.154 0.992 0.500
In 0.157 0.667 0.500
In 0.343 0.167 0.500
In 0.346 0.492 0.500
In 0.500 0.000 0.000
In 0.654 0.508 0.500
In 0.657 0.833 0.500
In 0.843 0.333 0.500
In 0.846 0.008 0.500
S 0.000 0.000 0.000
S 0.005 0.407 0.500
S 0.088 0.262 0.500
S 0.147 0.864 0.500
S 0.156 0.114 0.500
S 0.162 0.740 0.000
S 0.205 0.473 0.000
S 0.295 0.973 0.000
S 0.338 0.240 0.000
S 0.344 0.614 0.500
S 0.353 0.364 0.500
S 0.412 0.762 0.500
S 0.495 0.907 0.500
S 0.500 0.500 0.000
S 0.505 0.093 0.500
S 0.588 0.238 0.500
S 0.647 0.636 0.500
S 0.656 0.386 0.500
S 0.662 0.760 0.000
S 0.705 0.027 0.000
S 0.795 0.527 0.000
S 0.838 0.260 0.000
S 0.844 0.886 0.500
S 0.853 0.136 0.500
S 0.912 0.738 0.500
S 0.995 0.593 0.500

Properties
ΔE_f (raw) = -1.20 eV per atom
total moment = 0.000 μB per formula unit
energy = -5.1030 eV per atom
Fermi-level density of states = 0.161 states/eV/atom

3.
Below is crystalline TbInTeS at its relaxed geometry, with properties calculated at the PBE level.

Cell: 4.240 4.240 23.809 Å, 90.00 90.00 120.00°
Fractional coordinates of all 12 atoms:
Tb 0.000 0.000 0.000
Tb 0.333 0.667 0.667
Tb 0.667 0.333 0.333
In 0.000 0.000 0.161
In 0.333 0.667 0.828
In 0.667 0.333 0.494
Te 0.000 0.000 0.582
Te 0.333 0.667 0.248
Te 0.667 0.333 0.915
S 0.000 0.000 0.383
S 0.333 0.667 0.050
S 0.667 0.333 0.717

Properties
ΔE_f (raw) = -1.17 eV per atom
total moment = 0.000 μB per formula unit
energy = -4.8295 eV per atom

4.
Below is crystalline TbTl2InS4 at its relaxed geometry, with properties calculated at the PBE level.

Cell: 6.913 3.974 7.897 Å, 90.00 107.39 90.00°
Fractional coordinates of all 8 atoms:
Tb 0.000 0.000 0.000
Tl 0.000 0.500 0.500
Tl 0.500 0.000 0.500
In 0.500 0.500 0.000
S 0.237 0.500 0.200
S 0.278 0.000 0.806
S 0.722 0.000 0.194
S 0.763 0.500 0.800

Properties
ΔE_f (raw) = -0.97 eV per atom
total moment = 0.000 μB per formula unit
energy = -4.5489 eV per atom
Fermi-level density of states = 0.012 states/eV/atom

5.
Below is crystalline Tb3Tl3InS8 at its relaxed geometry, with properties calculated at the PBE level.

Cell: 8.682 8.682 8.682 Å, 54.98 54.98 54.98°
Fractional coordinates of all 15 atoms:
Tb 0.000 0.500 0.500
Tb 0.500 0.000 0.500
Tb 0.500 0.500 0.000
Tl 0.000 0.000 0.500
Tl 0.000 0.500 0.000
Tl 0.500 0.000 0.000
In 0.000 0.000 0.000
S 0.229 0.229 0.742
S 0.229 0.742 0.229
S 0.258 0.771 0.771
S 0.265 0.265 0.265
S 0.735 0.735 0.735
S 0.742 0.229 0.229
S 0.771 0.258 0.771
S 0.771 0.771 0.258

Properties
ΔE_f (raw) = -1.22 eV per atom
total moment = 0.000 μB per formula unit
energy = -4.9986 eV per atom
Fermi-level density of states = 0.359 states/eV/atom

6.
Below is crystalline Tb2Tl3InS6 at its relaxed geometry, with properties calculated at the PBE level.

Cell: 6.938 6.938 7.885 Å, 98.48 98.48 119.93°
Fractional coordinates of all 12 atoms:
Tb 0.166 0.834 0.000
Tb 0.834 0.166 0.000
Tl 0.000 0.000 0.500
Tl 0.331 0.669 0.500
Tl 0.669 0.331 0.500
In 0.500 0.500 0.000
S 0.110 0.434 0.804
S 0.241 0.241 0.201
S 0.434 0.110 0.804
S 0.566 0.890 0.196
S 0.759 0.759 0.799
S 0.890 0.566 0.196

Properties
ΔE_f (raw) = -1.14 eV per atom
total moment = 0.000 μB per formula unit
energy = -4.7923 eV per atom

7.
Below is crystalline TbTm2In3S6 at its relaxed geometry, with properties calculated at the PBE level.

Cell: 6.864 6.864 7.855 Å, 98.38 98.38 120.00°
Fractional coordinates of all 12 atoms:
Tb 0.000 0.000 0.000
Tm 0.333 0.667 0.000
Tm 0.667 0.333 0.000
In 0.166 0.834 0.500
In 0.500 0.500 0.500
In 0.834 0.166 0.500
S 0.067 0.405 0.200
S 0.272 0.272 0.801
S 0.405 0.067 0.200
S 0.595 0.933 0.800
S 0.728 0.728 0.199
S 0.933 0.595 0.800

Properties
ΔE_f (raw) = -1.40 eV per atom
total moment = 0.000 μB per formula unit
energy = -5.2828 eV per atom

8.
Below is crystalline TbTmIn2S6 at its relaxed geometry, with properties calculated at the PBE level.

Cell: 7.217 7.217 7.217 Å, 56.12 56.12 56.12°
Fractional coordinates of all 10 atoms:
Tb 0.000 0.000 0.000
Tm 0.498 0.498 0.498
In 0.292 0.292 0.292
In 0.794 0.794 0.794
S 0.093 0.689 0.412
S 0.196 0.590 0.905
S 0.412 0.093 0.689
S 0.590 0.905 0.196
S 0.689 0.412 0.093
S 0.905 0.196 0.590

Properties
ΔE_f (raw) = -1.26 eV per atom
total moment = 0.000 μB per formula unit
energy = -5.1946 eV per atom
Fermi-level density of states = 0.000 states/eV/atom

9.
Below is crystalline Tb2TmIn3S6 at its relaxed geometry, with properties calculated at the PBE level.

Cell: 6.908 6.908 7.855 Å, 98.43 98.43 119.99°
Fractional coordinates of all 12 atoms:
Tb 0.167 0.833 0.000
Tb 0.833 0.167 0.000
Tm 0.500 0.500 0.000
In 0.000 0.000 0.500
In 0.333 0.667 0.500
In 0.667 0.333 0.500
S 0.105 0.433 0.800
S 0.239 0.239 0.202
S 0.433 0.105 0.800
S 0.567 0.895 0.200
S 0.761 0.761 0.798
S 0.895 0.567 0.200

Properties
ΔE_f (raw) = -1.40 eV per atom
total moment = 0.000 μB per formula unit
energy = -5.2952 eV per atom

10.
Below is crystalline TbY3In2S at its relaxed geometry, with properties calculated at the PBE level.

Cell: 5.074 5.095 16.001 Å, 90.00 90.00 90.00°
Fractional coordinates of all 14 atoms:
Tb 0.000 0.000 0.000
Tb 0.500 0.500 0.500
Y 0.000 0.000 0.500
Y 0.000 0.500 0.172
Y 0.000 0.500 0.828
Y 0.500 0.000 0.328
Y 0.500 0.000 0.672
Y 0.500 0.500 0.000
In 0.000 0.500 0.368
In 0.000 0.500 0.632
In 0.500 0.000 0.132
In 0.500 0.000 0.868
S 0.000 0.500 0.000
S 0.500 0.000 0.500

Properties
ΔE_f (raw) = -0.72 eV per atom
total moment = 0.000 μB per formula unit
energy = -5.5221 eV per atom
Fermi-level density of states = 0.712 states/eV/atom

11.
Below is crystalline TbY2InS6 at its relaxed geometry, with properties calculated at the PBE level.

Cell: 7.297 7.297 7.297 Å, 56.19 56.19 56.19°
Fractional coordinates of all 10 atoms:
Tb 0.000 0.000 0.000
Y 0.297 0.297 0.297
Y 0.796 0.796 0.796
In 0.500 0.500 0.500
S 0.104 0.698 0.397
S 0.208 0.598 0.886
S 0.397 0.104 0.698
S 0.598 0.886 0.208
S 0.698 0.397 0.104
S 0.886 0.208 0.598

Properties
ΔE_f (raw) = -1.65 eV per atom
total moment = 0.000 μB per formula unit
energy = -6.1582 eV per atom
Fermi-level density of states = 0.000 states/eV/atom

12.
Below is crystalline In3TcS at its relaxed geometry, with properties calculated at the PBE level.

Cell: 5.167 5.167 5.167 Å, 90.00 90.00 90.00°
Fractional coordinates of all 5 atoms:
In 0.000 0.000 0.500
In 0.000 0.500 0.000
In 0.500 0.000 0.000
Tc 0.500 0.500 0.500
S 0.000 0.000 0.000

Properties
ΔE_f (raw) = 0.99 eV per atom
total moment = 3.139 μB per formula unit
energy = -3.5528 eV per atom
Fermi-level density of states = 1.195 states/eV/atom

13.
Below is crystalline InTc2S at its relaxed geometry, with properties calculated at the PBE level.

Cell: 6.286 6.286 6.286 Å, 90.00 90.00 90.00°
Fractional coordinates of all 16 atoms:
In 0.000 0.000 0.000
In 0.000 0.500 0.500
In 0.500 0.000 0.500
In 0.500 0.500 0.000
Tc 0.250 0.250 0.250
Tc 0.250 0.250 0.750
Tc 0.250 0.750 0.250
Tc 0.250 0.750 0.750
Tc 0.750 0.250 0.250
Tc 0.750 0.250 0.750
Tc 0.750 0.750 0.250
Tc 0.750 0.750 0.750
S 0.000 0.000 0.500
S 0.000 0.500 0.000
S 0.500 0.000 0.000
S 0.500 0.500 0.500

Properties
ΔE_f (raw) = 0.55 eV per atom
total moment = 0.000 μB per formula unit
energy = -6.3456 eV per atom
Fermi-level density of states = 1.041 states/eV/atom

14.
Below is crystalline In3TcS at its relaxed geometry, with properties calculated at the PBE level.

Cell: 5.215 5.215 5.215 Å, 90.00 90.00 90.00°
Fractional coordinates of all 5 atoms:
In 0.000 0.000 0.500
In 0.000 0.500 0.000
In 0.500 0.000 0.000
Tc 0.000 0.000 0.000
S 0.500 0.500 0.500

Properties
ΔE_f (raw) = 0.55 eV per atom
total moment = 1.644 μB per formula unit
energy = -3.9886 eV per atom
Fermi-level density of states = 1.986 states/eV/atom

15.
Below is crystalline In2TcS at its relaxed geometry, with properties calculated at the PBE level.

Cell: 7.516 7.516 5.889 Å, 90.00 90.00 90.00°
Fractional coordinates of all 16 atoms:
In 0.240 0.750 0.125
In 0.250 0.240 0.875
In 0.250 0.260 0.375
In 0.260 0.750 0.625
In 0.740 0.250 0.625
In 0.750 0.740 0.375
In 0.750 0.760 0.875
In 0.760 0.250 0.125
Tc 0.000 0.000 0.500
Tc 0.000 0.500 0.750
Tc 0.500 0.000 0.250
Tc 0.500 0.500 0.000
S 0.000 0.000 0.000
S 0.000 0.500 0.250
S 0.500 0.000 0.750
S 0.500 0.500 0.500

Properties
ΔE_f (raw) = 0.48 eV per atom
total moment = 1.679 μB per formula unit
energy = -4.5098 eV per atom
Fermi-level density of states = 0.802 states/eV/atom

16.
Below is crystalline InTc2S at its relaxed geometry, with properties calculated at the PBE level.

Cell: 7.042 7.042 5.545 Å, 90.00 90.00 90.00°
Fractional coordinates of all 16 atoms:
In 0.000 0.000 0.000
In 0.000 0.500 0.250
In 0.500 0.000 0.750
In 0.500 0.500 0.500
Tc 0.166 0.250 0.625
Tc 0.250 0.666 0.875
Tc 0.250 0.834 0.375
Tc 0.334 0.250 0.125
Tc 0.666 0.750 0.125
Tc 0.750 0.166 0.375
Tc 0.750 0.334 0.875
Tc 0.834 0.750 0.625
S 0.000 0.000 0.500
S 0.000 0.500 0.750
S 0.500 0.000 0.250
S 0.500 0.500 0.000

Properties
ΔE_f (raw) = 0.29 eV per atom
total moment = 0.000 μB per formula unit
energy = -6.6098 eV per atom
Fermi-level density of states = 1.445 states/eV/atom

17.
Below is crystalline VInTcS3 at its relaxed geometry, with properties calculated at the PBE level.

Cell: 7.605 3.122 9.881 Å, 90.00 110.13 90.00°
Fractional coordinates of all 12 atoms:
V 0.059 0.250 0.352
V 0.941 0.750 0.648
In 0.468 0.250 0.153
In 0.532 0.750 0.847
Tc 0.109 0.750 0.135
Tc 0.891 0.250 0.865
S 0.130 0.750 0.894
S 0.164 0.250 0.615
S 0.296 0.750 0.380
S 0.704 0.250 0.620
S 0.836 0.750 0.385
S 0.870 0.250 0.106

Properties
ΔE_f (raw) = -0.57 eV per atom
total moment = 0.000 μB per formula unit
energy = -6.3380 eV per atom
Fermi-level density of states = 0.565 states/eV/atom

18.
Below is crystalline ZnInTcS2 at its relaxed geometry, with properties calculated at the PBE level.

Cell: 4.621 4.621 5.083 Å, 90.00 90.00 90.00°
Fractional coordinates of all 5 atoms:
Zn 0.000 0.000 0.000
In 0.500 0.500 0.000
Tc 0.000 0.000 0.500
S 0.000 0.500 0.500
S 0.500 0.000 0.500

Properties
ΔE_f (raw) = 0.07 eV per atom
total moment = 0.000 μB per formula unit
energy = -4.4534 eV per atom
Fermi-level density of states = 0.754 states/eV/atom

19.
Below is crystalline InTe2S5 at its relaxed geometry, with properties calculated at the PBE level.

Cell: 12.607 7.106 6.956 Å, 90.00 103.42 90.00°
Fractional coordinates of all 16 atoms:
In 0.000 0.000 0.000
In 0.500 0.500 0.000
Te 0.001 0.000 0.500
Te 0.115 0.500 0.123
Te 0.501 0.500 0.500
Te 0.615 0.000 0.123
S 0.136 0.245 0.912
S 0.136 0.755 0.912
S 0.358 0.500 0.670
S 0.452 0.257 0.252
S 0.452 0.743 0.252
S 0.636 0.255 0.912
S 0.636 0.745 0.912
S 0.858 0.000 0.670
S 0.952 0.243 0.252
S 0.952 0.757 0.252

Properties
ΔE_f (raw) = -0.01 eV per atom
total moment = 0.000 μB per formula unit
energy = -3.7212 eV per atom
Fermi-level density of states = 0.375 states/eV/atom

20.
Below is crystalline In3TeS at its relaxed geometry, with properties calculated at the PBE level.

Cell: 5.961 5.961 5.961 Å, 90.00 90.00 90.00°
Fractional coordinates of all 5 atoms:
In 0.000 0.000 0.500
In 0.000 0.500 0.000
In 0.500 0.000 0.000
Te 0.000 0.000 0.000
S 0.500 0.500 0.500

Properties
ΔE_f (raw) = 0.52 eV per atom
total moment = 0.000 μB per formula unit
energy = -2.5791 eV per atom
Fermi-level density of states = 0.452 states/eV/atom